Here is an optimized crystal structure of CeTm2Th3 from Alexandria. Energies are from PBE.

Cell: 7.531 7.531 6.688 Å, 91.77 91.77 95.25°
Fractional coordinates of all 12 atoms:
Ce (0.226, 0.774, 0.750)
Ce (0.774, 0.226, 0.250)
Tm (0.102, 0.563, 0.252)
Tm (0.437, 0.898, 0.248)
Tm (0.563, 0.102, 0.752)
Tm (0.898, 0.437, 0.748)
Th (0.163, 0.163, 0.479)
Th (0.163, 0.163, 0.979)
Th (0.500, 0.500, 0.000)
Th (0.500, 0.500, 0.500)
Th (0.837, 0.837, 0.021)
Th (0.837, 0.837, 0.521)

Energy relative to the elements = 116.5 kJ/mol of formula units
Uncorrected energy = -5.99 eV per atom


Here is an optimized crystal structure of SrGe2Ru from Alexandria. Energies are from PBE.

Cell: 4.992 4.992 16.190 Å, 90.00 90.00 90.00°
Fractional coordinates of all 16 atoms:
Sr (0.000, 0.000, 0.000)
Sr (0.000, 0.500, 0.250)
Sr (0.500, 0.000, 0.750)
Sr (0.500, 0.500, 0.500)
Ge (0.001, 0.250, 0.625)
Ge (0.250, 0.501, 0.875)
Ge (0.250, 0.999, 0.375)
Ge (0.499, 0.250, 0.125)
Ge (0.501, 0.750, 0.125)
Ge (0.750, 0.001, 0.375)
Ge (0.750, 0.499, 0.875)
Ge (0.999, 0.750, 0.625)
Ru (0.000, 0.000, 0.500)
Ru (0.000, 0.500, 0.750)
Ru (0.500, 0.000, 0.250)
Ru (0.500, 0.500, 0.000)

Energy relative to the elements = -76.5 kJ/mol of formula units
Uncorrected energy = -5.25 eV per atom


no.,magnetic moment (μB/cell)
1,0.72
2,0.00